# 1
First-principles (PBE) data for PmPrSmTh2 after structural relaxation, as listed in Alexandria via LeMat-Bulk.

a b c (Å): 6.7511 15.8563 6.7482
angles (deg): 90.00 90.00 90.00
With the nearest neighbours (Å) after each atom.
Space group Cmcm (No. 63)
One atom of each set of equivalent atoms:
1 Pm 0.0000 0.1511 0.2500 (multiplicity 4)  1 Sm 3.13, 4 Th 3.38
2 Pr 0.0000 0.2540 0.7500 (multiplicity 4)  4 Sm 3.69-3.75, 4 Pm 3.70-3.75
3 Sm 0.0000 0.3487 0.2500 (multiplicity 4)  1 Pm 3.13, 4 Th 3.38
4 Th 0.2492 0.5000 0.0000 (multiplicity 8)  4 Th 3.37-3.39, 2 Sm 3.38, 2 Pm 3.38

- DFT formation energy (eV/atom) = 0.366

---

# 2
First-principles (PBE) data for LaHo2F after structural relaxation, as listed in Alexandria via LeMat-Bulk.

a b c (Å): 3.6122 3.6122 28.4488
angles (deg): 90.00 90.00 120.00
With the nearest neighbours (Å) after each atom.
Space group R-3m (No. 166, hexagonal axes)
One atom of each set of equivalent atoms:
1 La 0.0000 0.0000 0.0000 (multiplicity 3)  2 Ho 3.39, 6 La 3.61
2 Ho 0.0000 0.0000 0.1192 (multiplicity 6)  3 F 2.48
3 F 0.0000 0.0000 0.5000 (multiplicity 3)  6 Ho 2.48

- formation energy from raw total energies (eV/atom) = -0.904

---

# 3
First-principles (PBE) data for Li2CeSnAu4 after structural relaxation, as listed in Alexandria via LeMat-Bulk.

a b c (Å): 4.5715 4.5715 27.1688
angles (deg): 90.00 90.00 120.00
With the nearest neighbours (Å) after each atom.
Space group R-3m (No. 166, hexagonal axes)
One atom of each set of equivalent atoms:
1 Li 0.0000 0.0000 0.2359 (multiplicity 6)  6 Au 2.70-2.84
2 Ce 0.0000 0.0000 0.0000 (multiplicity 3)  8 Au 3.09-3.21
3 Sn 0.0000 0.0000 0.5000 (multiplicity 3)  8 Au 2.92-2.95, 6 Li 3.24
4 Au 0.0000 0.0000 0.1182 (multiplicity 6)  3 Li 2.70, 3 Sn 2.95
5 Au 0.0000 0.0000 0.3927 (multiplicity 6)  3 Li 2.84, 1 Sn 2.92, 3 Au 3.09, 3 Ce 3.09

- DFT formation energy (eV/atom) = -0.507

---

# 4
First-principles (PBE) data for TiBiI3 after structural relaxation, as listed in Alexandria via LeMat-Bulk.

a b c (Å): 5.6671 5.6671 5.6671
angles (deg): 90.00 90.00 90.00
With the nearest neighbours (Å) after each atom.
Space group Pm-3m (No. 221)
One atom of each set of equivalent atoms:
1 Ti 0.0000 0.0000 0.0000 (multiplicity 1)  6 I 2.83
2 Bi 0.5000 0.5000 0.5000 (multiplicity 1)  12 I 4.01
3 I 0.0000 0.0000 0.5000 (multiplicity 3)  2 Ti 2.83

- distance to the lowest polymorph of the same formula (eV/f.u.) = 0.00
- formation energy from raw total energies (eV/atom) = -0.029

---

# 5
First-principles (PBE) data for Sn2HgPt after structural relaxation, as listed in Alexandria via LeMat-Bulk.

a b c (Å): 3.9760 3.9760 22.4477
angles (deg): 90.00 90.00 120.00
With the nearest neighbours (Å) after each atom.
Space group R3m (No. 160, hexagonal axes)
One atom of each set of equivalent atoms:
1 Sn 0.0000 0.0000 0.0000 (multiplicity 3)  3 Pt 2.73
2 Sn 0.0000 0.0000 0.2002 (multiplicity 3)  3 Pt 2.75
3 Hg 0.0000 0.0000 0.7698 (multiplicity 3)  6 Sn 3.16-3.26
4 Pt 0.0000 0.0000 0.6010 (multiplicity 3)  6 Sn 2.73-2.75

- DFT formation energy (eV/atom) = -0.209

---

# 6
First-principles (PBE) data for TmTiW4 after structural relaxation, as listed in Alexandria via LeMat-Bulk.

a b c (Å): 7.6386 7.6386 7.6386
angles (deg): 90.00 90.00 90.00
With the nearest neighbours (Å) after each atom.
Space group F-43m (No. 216)
One atom of each set of equivalent atoms:
1 Tm 0.0000 0.0000 0.0000 (multiplicity 4)  12 W 3.17, 4 Ti 3.31
2 Ti 0.2500 0.2500 0.7500 (multiplicity 4)  12 W 3.17, 4 Tm 3.31
3 W 0.1251 0.1251 0.3749 (multiplicity 16)  6 W 2.70

- DFT formation energy (eV/atom) = 0.087

---

# 7
First-principles (PBE) data for K3NdU3Se8 after structural relaxation, as listed in Alexandria via LeMat-Bulk.

a b c (Å): 8.4402 8.4402 23.4011
angles (deg): 90.00 90.00 120.00
With the nearest neighbours (Å) after each atom.
Space group R-3m (No. 166, hexagonal axes)
One atom of each set of equivalent atoms:
1 K 0.0000 0.5000 0.0000 (multiplicity 9)  6 Se 3.35-3.37
2 Nd 0.0000 0.0000 0.5000 (multiplicity 3)  6 Se 2.97
3 U 0.0000 0.5000 0.5000 (multiplicity 9)  6 Se 2.89-2.92
4 Se 0.0000 0.0000 0.2354 (multiplicity 6)  3 U 2.92
5 Se 0.0094 0.5047 0.7648 (multiplicity 18)  2 U 2.89, 1 Nd 2.97

- formation energy from raw total energies (eV/atom) = -1.363

---

# 8
First-principles (PBE) data for BePb2N after structural relaxation, as listed in Alexandria via LeMat-Bulk.

a b c (Å): 5.7274 5.7274 10.7056
angles (deg): 90.00 90.00 90.00
With the nearest neighbours (Å) after each atom.
Space group I-42d (No. 122)
One atom of each set of equivalent atoms:
1 Be 0.0000 0.0000 0.0000 (multiplicity 4)  4 Pb 2.52
2 Pb 0.2241 0.2500 0.6250 (multiplicity 8)  2 N 2.34, 2 Be 2.52
3 N 0.0000 0.0000 0.5000 (multiplicity 4)  4 Pb 2.34

- distance to the lowest polymorph of the same formula (eV/f.u.) = 0.00
- formation energy from raw total energies (eV/atom) = 0.759

---

For reference, DFT total energy by record: -5.4520; -4.8924; -3.8661; -3.3145; -3.7956; -10.6099; -6.0169; -4.1080 eV per atom.